Record 1
Entry from Alexandria via LeMat-Bulk: crystalline CsBe3Se at its relaxed geometry (GGA-PBE).

Computed properties:
* formation energy (no corrections): 1.190 eV/atom
* distance to the lowest polymorph of the same formula: 0.000 eV per atom
* symmetry: Pm-3m, No. 221

Lattice parameters (Å, degrees): 4.943 4.943 4.943 90.00 90.00 90.00
Atoms (fractional coordinates):
Cs 0.000 0.000 0.000
Be 0.000 0.500 0.500
Be 0.500 0.000 0.500
Be 0.500 0.500 0.000
Se 0.500 0.500 0.500

---

Record 2
Entry from Alexandria via LeMat-Bulk: crystalline As2AuS2 at its relaxed geometry (GGA-PBE).

Computed properties:
* formation energy (no corrections): 0.129 eV/atom
* symmetry: P4/mbm, No. 127

Lattice parameters (Å, degrees): 7.892 7.892 3.459 90.00 90.00 90.00
Atoms (fractional coordinates):
As 0.227 0.273 0.000
As 0.273 0.773 0.000
As 0.727 0.227 0.000
As 0.773 0.727 0.000
Au 0.000 0.000 0.000
Au 0.500 0.500 0.000
S 0.136 0.636 0.500
S 0.364 0.136 0.500
S 0.636 0.864 0.500
S 0.864 0.364 0.500

---

Record 3
Entry from Alexandria via LeMat-Bulk: crystalline Pm3SmAl at its relaxed geometry (GGA-PBE).

Computed properties:
* calculated formation energy: 0.45 eV/f.u.
* distance to the lowest polymorph of the same formula: 0.206 eV per atom
* symmetry: Amm2, No. 38

Lattice parameters (Å, degrees): 5.295 5.767 5.767 110.54 90.00 90.00
Atoms (fractional coordinates):
Pm 0.000 0.000 0.000
Pm 0.500 0.083 0.451
Pm 0.500 0.451 0.083
Sm 0.000 0.529 0.529
Al 0.500 0.762 0.762

---

no.,calculated total energy (eV per atom)
1,-1.914
2,-4.037
3,-4.453